## A
CdIN2F after structural relaxation. Source: the Alexandria database, functional PBE.

Lattice parameters (Å, degrees): 4.3457 4.3457 6.3503 90.00 90.00 90.00
With the nearest neighbours (Å) after each atom.
Space group P4/mmm (No. 123)
Symmetry-distinct sites (fractional):
1 Cd 0.0000 0.0000 0.0000 (multiplicity 1)  4 N 2.17
2 I 0.0000 0.0000 0.5000 (multiplicity 1)  4 F 3.07, 2 Cd 3.18
3 N 0.0000 0.5000 0.0000 (multiplicity 2)  2 Cd 2.17
4 F 0.5000 0.5000 0.5000 (multiplicity 1)  4 I 3.07

V (Å³/cell): 119.9
Fermi-level density of states (states/eV/atom): 0.35
Total moment (Bohr magnetons per cell): 5.6



## B
CdIN2F after structural relaxation. Source: the Alexandria database, functional PBE.

Lattice parameters (Å, degrees): 4.5593 4.5593 4.3378 90.00 90.00 90.00
With the nearest neighbours (Å) after each atom.
Space group P4/mmm (No. 123)
Symmetry-distinct sites (fractional):
1 Cd 0.0000 0.0000 0.0000 (multiplicity 1)  2 F 2.17, 4 N 2.28
2 I 0.5000 0.5000 0.5000 (multiplicity 1)  8 N 3.15, 4 F 3.22
3 N 0.0000 0.5000 0.0000 (multiplicity 2)  2 Cd 2.28
4 F 0.0000 0.0000 0.5000 (multiplicity 1)  2 Cd 2.17

V (Å³/cell): 90.2
Fermi-level density of states (states/eV/atom): 0.75
Total moment (Bohr magnetons per cell): 3.3



Q: Which of them is the most stable? A: B.



## A
CdIOF2 after structural relaxation. Source: the Alexandria database, functional PBE.

Lattice parameters (Å, degrees): 4.2212 4.2212 4.9541 90.00 90.00 90.00
With the nearest neighbours (Å) after each atom.
Space group P4/mmm (No. 123)
Symmetry-distinct sites (fractional):
1 Cd 0.0000 0.0000 0.0000 (multiplicity 1)  4 F 2.11
2 I 0.5000 0.5000 0.5000 (multiplicity 1)  4 O 2.98, 8 F 3.25
3 O 0.0000 0.0000 0.5000 (multiplicity 1)  2 Cd 2.48
4 F 0.0000 0.5000 0.0000 (multiplicity 2)  2 Cd 2.11

V (Å³/cell): 88.3
Fermi-level density of states (states/eV/atom): 1.02
Total moment (Bohr magnetons per cell): 0.4



## B
CdIOF2 after structural relaxation. Source: the Alexandria database, functional PBE.

Lattice parameters (Å, degrees): 4.9518 4.9518 4.0025 90.00 90.00 90.00
With the nearest neighbours (Å) after each atom.
Space group P4/mmm (No. 123)
Symmetry-distinct sites (fractional):
1 Cd 0.0000 0.0000 0.0000 (multiplicity 1)  8 F 3.18, 4 O 3.50
2 I 0.5000 0.5000 0.5000 (multiplicity 1)  2 O 2.00
3 O 0.5000 0.5000 0.0000 (multiplicity 1)  2 I 2.00
4 F 0.0000 0.5000 0.5000 (multiplicity 2)  2 I 2.48

V (Å³/cell): 98.1
Fermi-level density of states (states/eV/atom): 0.87
Total moment (Bohr magnetons per cell): 0.0



Q: Which of them is the most stable? A: A.



## A
CdI2OF after structural relaxation. Source: the Alexandria database, functional PBE.

Lattice parameters (Å, degrees): 5.9937 5.9937 4.0973 90.00 90.00 90.00
With the nearest neighbours (Å) after each atom.
Space group P4/mmm (No. 123)
Symmetry-distinct sites (fractional):
1 Cd 0.0000 0.0000 0.0000 (multiplicity 1)  2 O 2.05
2 I 0.0000 0.5000 0.0000 (multiplicity 2)  2 Cd 3.00
3 O 0.0000 0.0000 0.5000 (multiplicity 1)  2 Cd 2.05
4 F 0.5000 0.5000 0.5000 (multiplicity 1)  8 I 3.63

V (Å³/cell): 147.2
Fermi-level density of states (states/eV/atom): 1.44
Total moment (Bohr magnetons per cell): 3.0



## B
CdI2OF after structural relaxation. Source: the Alexandria database, functional PBE.

Lattice parameters (Å, degrees): 5.2139 5.2139 4.0773 90.00 90.00 90.00
With the nearest neighbours (Å) after each atom.
Space group P4/mmm (No. 123)
Symmetry-distinct sites (fractional):
1 Cd 0.0000 0.0000 0.0000 (multiplicity 1)  8 I 3.31, 4 O 3.69
2 I 0.0000 0.5000 0.5000 (multiplicity 2)  2 F 2.61
3 O 0.5000 0.5000 0.0000 (multiplicity 1)  2 F 2.04
4 F 0.5000 0.5000 0.5000 (multiplicity 1)  2 O 2.04

V (Å³/cell): 110.8
Fermi-level density of states (states/eV/atom): 0.77
Total moment (Bohr magnetons per cell): 0.0



Q: Which of them is the most stable? A: A.



## A
CdSb2IF after structural relaxation. Source: the Alexandria database, functional PBE.

Lattice parameters (Å, degrees): 4.7428 4.7428 6.1844 90.00 90.00 90.00
With the nearest neighbours (Å) after each atom.
Space group P4/mmm (No. 123)
Symmetry-distinct sites (fractional):
1 Cd 0.0000 0.0000 0.0000 (multiplicity 1)  4 I 3.35
2 Sb 0.0000 0.5000 0.5000 (multiplicity 2)  2 F 2.37
3 I 0.5000 0.5000 0.0000 (multiplicity 1)  2 F 3.09, 4 Cd 3.35
4 F 0.5000 0.5000 0.5000 (multiplicity 1)  4 Sb 2.37

V (Å³/cell): 139.1
Fermi-level density of states (states/eV/atom): 0.63
Total moment (Bohr magnetons per cell): 0.0



## B
CdSb2IF after structural relaxation. Source: the Alexandria database, functional PBE.

Lattice parameters (Å, degrees): 5.5492 5.5492 5.7771 90.00 90.00 90.00
With the nearest neighbours (Å) after each atom.
Space group P4/mmm (No. 123)
Symmetry-distinct sites (fractional):
1 Cd 0.0000 0.0000 0.0000 (multiplicity 1)  4 Sb 2.77, 2 I 2.89
2 Sb 0.0000 0.5000 0.0000 (multiplicity 2)  2 Cd 2.77
3 I 0.0000 0.0000 0.5000 (multiplicity 1)  2 Cd 2.89
4 F 0.5000 0.5000 0.5000 (multiplicity 1)  4 I 3.92, 8 Sb 4.01

V (Å³/cell): 177.9
Fermi-level density of states (states/eV/atom): 0.84
Total moment (Bohr magnetons per cell): 0.5



Q: Which of them is the most stable? A: A.



## A
CdSbI2F after structural relaxation. Source: the Alexandria database, functional PBE.

Lattice parameters (Å, degrees): 5.7215 5.7215 5.6918 90.00 90.00 90.00
With the nearest neighbours (Å) after each atom.
Space group P4/mmm (No. 123)
Symmetry-distinct sites (fractional):
1 Cd 0.0000 0.0000 0.0000 (multiplicity 1)  2 Sb 2.85, 4 I 2.86
2 Sb 0.0000 0.0000 0.5000 (multiplicity 1)  2 Cd 2.85
3 I 0.0000 0.5000 0.0000 (multiplicity 2)  2 Cd 2.86
4 F 0.5000 0.5000 0.5000 (multiplicity 1)  8 I 4.04, 4 Sb 4.05

V (Å³/cell): 186.3
Fermi-level density of states (states/eV/atom): 0.93
Total moment (Bohr magnetons per cell): 0.0



## B
CdSbI2F after structural relaxation. Source: the Alexandria database, functional PBE.

Lattice parameters (Å, degrees): 6.0670 6.0670 4.2339 90.00 90.00 90.00
With the nearest neighbours (Å) after each atom.
Space group P4/mmm (No. 123)
Symmetry-distinct sites (fractional):
1 Cd 0.0000 0.0000 0.0000 (multiplicity 1)  8 I 3.70
2 Sb 0.5000 0.5000 0.0000 (multiplicity 1)  2 F 2.12
3 I 0.0000 0.5000 0.5000 (multiplicity 2)  2 F 3.03
4 F 0.5000 0.5000 0.5000 (multiplicity 1)  2 Sb 2.12

V (Å³/cell): 155.8
Fermi-level density of states (states/eV/atom): 0.80
Total moment (Bohr magnetons per cell): 0.0



Q: Which of them is the most stable? A: B.



## A
CdSbIF2 after structural relaxation. Source: the Alexandria database, functional PBE.

Lattice parameters (Å, degrees): 4.6049 4.6049 6.0677 90.00 90.00 90.00
With the nearest neighbours (Å) after each atom.
Space group P4/mmm (No. 123)
Symmetry-distinct sites (fractional):
1 Cd 0.0000 0.0000 0.0000 (multiplicity 1)  4 Sb 3.26
2 Sb 0.5000 0.5000 0.0000 (multiplicity 1)  2 I 3.03, 4 Cd 3.26
3 I 0.5000 0.5000 0.5000 (multiplicity 1)  4 F 2.30
4 F 0.0000 0.5000 0.5000 (multiplicity 2)  2 I 2.30

V (Å³/cell): 128.7
Fermi-level density of states (states/eV/atom): 0.43
Total moment (Bohr magnetons per cell): 0.0



## B
CdSbIF2 after structural relaxation. Source: the Alexandria database, functional PBE.

Lattice parameters (Å, degrees): 4.4246 4.4246 5.9426 90.00 90.00 90.00
With the nearest neighbours (Å) after each atom.
Space group P4/mmm (No. 123)
Symmetry-distinct sites (fractional):
1 Cd 0.0000 0.0000 0.0000 (multiplicity 1)  2 Sb 2.97, 4 I 3.13
2 Sb 0.0000 0.0000 0.5000 (multiplicity 1)  4 F 2.21
3 I 0.5000 0.5000 0.0000 (multiplicity 1)  4 Cd 3.13
4 F 0.0000 0.5000 0.5000 (multiplicity 2)  2 Sb 2.21

V (Å³/cell): 116.3
Fermi-level density of states (states/eV/atom): 0.09
Total moment (Bohr magnetons per cell): 0.0



Q: Which of them is the most stable? A: B.